1.
IrW2, relaxed, DFT GGA-PBE; polymorph energy (0 for the lowest one) = 0.260 eV/f.u.; crystal system = orthorhombic; raw total energy = -11.61 eV per atom; density of states at the Fermi level = 0.423 states/eV per atom; spin magnetization = 0.00 μB per atom
1.0
6.508 0.602 3.623
-6.749 1.951 -2.546
-1.930 -1.769 3.761
W Ir
4 2
direct
0.943 0.057 0.750
0.731 0.269 0.250
0.269 0.731 0.750
0.057 0.943 0.250
0.607 0.393 0.750
0.393 0.607 0.250

2.
IrW5, relaxed, DFT GGA-PBE; polymorph energy (0 for the lowest one) = 0.260 eV/f.u.; crystal system = monoclinic; raw total energy = -12.07 eV per atom; density of states at the Fermi level = 0.836 states/eV per atom; spin magnetization = 0.00 μB per atom
1.0
1.353 5.334 0.003
-1.353 5.334 0.003
0.000 1.847 6.667
W Ir
5 1
direct
0.670 0.670 0.671
0.281 0.281 0.953
0.602 0.602 0.274
0.333 0.333 0.321
0.945 0.945 0.617
0.002 0.002 0.997

3.
IrW5, relaxed, DFT GGA-PBE; polymorph energy (0 for the lowest one) = 0.000 eV/f.u.; crystal system = orthorhombic; raw total energy = -12.11 eV per atom; density of states at the Fermi level = 0.897 states/eV per atom; spin magnetization = 0.00 μB per atom
1.0
-6.333 -1.157 0.630
5.927 -2.297 1.199
0.010 1.854 3.502
Ir W
1 5
direct
0.500 0.500 0.000
0.161 0.839 0.000
0.336 0.664 0.500
0.000 0.000 0.500
0.839 0.161 0.000
0.664 0.336 0.500

4.
Ir5W, relaxed, DFT GGA-PBE; polymorph energy (0 for the lowest one) = 5.006 eV/f.u.; crystal system = hexagonal; raw total energy = -8.93 eV per atom; density of states at the Fermi level = 1.160 states/eV per atom; spin magnetization = 0.00 μB per atom
1.0
-1.974 -2.934 -3.640
1.695 -2.090 4.302
-4.001 0.460 1.800
W Ir
1 5
direct
0.000 0.000 0.000
0.333 0.667 0.000
0.500 0.500 0.500
0.000 0.500 0.500
0.667 0.333 0.000
0.500 0.000 0.500

Copy entry 4 word for word.
Ir5W, relaxed, DFT GGA-PBE; polymorph energy (0 for the lowest one) = 5.006 eV/f.u.; crystal system = hexagonal; raw total energy = -8.93 eV per atom; density of states at the Fermi level = 1.160 states/eV per atom; spin magnetization = 0.00 μB per atom
1.0
-1.974 -2.934 -3.640
1.695 -2.090 4.302
-4.001 0.460 1.800
W Ir
1 5
direct
0.000 0.000 0.000
0.333 0.667 0.000
0.500 0.500 0.500
0.000 0.500 0.500
0.667 0.333 0.000
0.500 0.000 0.500

Q: Among the records above, which one has the highest polymorph energy (0 for the lowest one)?
A: Ir5W

Q: Which value of raw total energy does entry 1 give?
A: -11.61 eV per atom